This record from OQMD via LeMat-Bulk describes an optimized crystal structure of RbOsNO. The functional is PBE.

Its offset from the most stable computed form is 0.000 eV per atom. As for the space group: Pca2_1, No. 29. The value obtained for the electronic total energy is -6.762 eV/atom. The total magnetization is 0.00 μB per formula unit.

abc: 5.7747 8.7801 5.4018
angles: 90.00 90.00 90.00
Last column: nearest neighbours and their distance in Å.
Positions (direct):
Rb1 0.0589 0.1464 0.0000  5 O 2.74-2.95
Rb2 0.4411 0.1464 0.5000  5 O 2.74-2.95
Rb3 0.5589 0.8536 0.0000  5 O 2.74-2.95
Rb4 0.9411 0.8536 0.5000  5 O 2.74-2.95
Os1 0.1156 0.6077 0.0147  1 O 1.88, 3 N 1.95-1.96
Os2 0.3844 0.6077 0.5147  1 O 1.88, 3 N 1.95-1.96
Os3 0.6156 0.3923 0.0147  1 O 1.88, 3 N 1.95-1.96
Os4 0.8844 0.3923 0.5147  1 O 1.88, 3 N 1.95-1.96
N1 0.1060 0.5274 0.6780  3 Os 1.95-1.96
N2 0.3940 0.5274 0.1780  3 Os 1.95-1.96
N3 0.6060 0.4726 0.6780  3 Os 1.95-1.96
N4 0.8940 0.4726 0.1780  3 Os 1.95-1.96
O1 0.0511 0.8165 0.9892  1 Os 1.88
O2 0.4489 0.8165 0.4892  1 Os 1.88
O3 0.5511 0.1835 0.9892  1 Os 1.88
O4 0.9489 0.1835 0.4892  1 Os 1.88